Entry 1:
LuGaAu2 | PBE-GGA | optimized geometry

The structure in extended XYZ format:
```
4
Lattice="-1.1790 3.3738 -0.2952 -2.5826 -0.6934 2.3894 3.8120 1.7368 4.6242" Properties=species:S:1:pos:R:3 pbc="T T T"
Au 2.8663 1.3059 3.4769
Au 0.9458 0.4309 1.1473
Ga -1.8808 1.3402 1.0471
Lu 0.0253 2.2086 3.3592
```

Values from the calculation:
For the density, the calculation gives 13.216 g/cm3. The calculation puts the calculated volume at 80.2 Å³ per cell. As for the energy relative to the elements: -225 kJ/mol of formula units.

=====

Entry 2:
TlNiSn3 | PBE-GGA | optimized geometry

The structure in extended XYZ format:
```
5
Lattice="5.0850 0.0000 0.0000 0.0000 5.0850 0.0000 0.0000 0.0000 5.0850" Properties=species:S:1:pos:R:3 pbc="T T T"
Ni 0.0000 0.0000 0.0000
Sn 0.0000 2.5425 0.0000
Sn 2.5425 0.0000 0.0000
Sn 0.0000 0.0000 2.5425
Tl 2.5425 2.5425 2.5425
```

Values from the calculation:
For the density, the calculation gives 7.820 g/cm3. The calculation puts the calculated volume at 131.5 Å³ per cell. The energy relative to the lowest polymorph listed for this composition is 0.0000 eV/atom. As for the energy relative to the elements: 28 kJ/mol of formula units.

=====

Entry 3:
Zn4Mo3 | PBE-GGA | optimized geometry

The structure in extended XYZ format:
```
7
Lattice="2.9154 0.9284 4.1961 -3.7833 3.3049 -1.3161 -3.1574 -2.5189 2.7510" Properties=species:S:1:pos:R:3 pbc="T T T"
Zn -0.8962 0.4611 3.7342
Zn -0.7695 -0.6139 0.6705
Zn -2.3878 -1.9050 2.0805
Zn -3.1291 1.2533 1.8968
Mo -0.4340 2.1167 1.4400
Mo 1.4577 0.4642 2.0980
Mo -1.8917 1.6525 -0.6580
```

Values from the calculation:
For the density, the calculation gives 7.994 g/cm3. The calculation puts the calculated volume at 114.1 Å³ per cell. The energy relative to the lowest polymorph listed for this composition is 0.1113 eV/atom. As for the energy relative to the elements: 225 kJ/mol of formula units.

=====

Entry 4:
CrFeNiGe | PBE-GGA | optimized geometry

The structure in extended XYZ format:
```
4
Lattice="4.0943 0.0000 0.0000 2.0472 3.5458 0.0000 2.0472 1.1819 3.3430" Properties=species:S:1:pos:R:3 pbc="T T T"
Fe 4.0943 2.3639 1.6715
Ni 2.0472 1.1819 0.8358
Cr 6.1415 3.5458 2.5073
Ge 0.0000 0.0000 0.0000
```

Values from the calculation:
For the density, the calculation gives 8.183 g/cm3. The calculation puts the calculated volume at 48.5 Å³ per cell. As for the energy relative to the elements: 1 kJ/mol of formula units.

=====

Entry 5:
Fe3NiRh5 | PBE-GGA | optimized geometry

The structure in extended XYZ format:
```
18
Lattice="-0.6730 -3.4623 -5.8977 2.2908 -4.8895 2.6090 -5.5109 -1.7105 1.6331" Properties=species:S:1:pos:R:3 pbc="T T T"
Rh -3.6476 -3.1334 0.5273
Rh -1.9465 -5.0312 -0.8278
Rh -0.8094 -2.4548 -0.1950
Rh -1.1918 -4.4223 -3.5464
Rh 0.1369 -4.9614 1.1685
Rh -3.0837 -7.6075 -1.4606
Rh -0.2455 -6.9289 -2.1829
Rh -4.0300 -5.1009 -2.8241
Rh -2.7013 -5.6400 1.8908
Rh -0.3365 -1.7311 -2.9488
Fe -4.3317 -5.1275 -0.4990
Fe -1.6982 -7.1104 0.3645
Fe -2.1949 -2.9519 -2.0201
Fe 0.4386 -4.9348 -1.1565
Fe 0.0000 0.0000 0.0000
Fe -1.6100 -3.3000 2.1210
Ni 1.1454 -2.4448 1.3045
Ni -2.7554 -0.8552 0.8165
```

Values from the calculation:
For the density, the calculation gives 9.955 g/cm3. The calculation puts the calculated volume at 247.1 Å³ per cell. As for the energy relative to the elements: 295 kJ/mol of formula units.

=====

Entry 6:
Ce2RhBr | PBE-GGA | optimized geometry

The structure in extended XYZ format:
```
4
Lattice="-0.1282 -0.7241 -4.0011 -2.9195 -2.3748 -1.5448 -5.5169 5.1322 -2.8201" Properties=species:S:1:pos:R:3 pbc="T T T"
Ce -1.9209 0.2067 -2.0440
Ce -6.6437 1.8267 -6.3221
Br -4.2823 1.0167 -4.1830
Rh 0.0000 0.0000 0.0000
```

Values from the calculation:
For the energy relative to the elements, uncorrected, the calculation gives -976 meV per atom. For the density, the calculation gives 6.972 g/cm3. The calculation puts the calculated volume at 110.3 Å³ per cell. The energy relative to the lowest polymorph listed for this composition is 0.0000 eV/atom.

=====

Entry 7:
Sr2UO4 | PBE-GGA | optimized geometry

The structure in extended XYZ format:
```
14
Lattice="3.6087 0.0000 0.0000 0.0000 6.1790 0.0000 0.0000 0.0000 10.4204" Properties=species:S:1:pos:R:3 pbc="T T T"
O 1.8043 4.8105 5.7095
O 1.8043 1.3685 4.7108
O 0.0000 3.9486 8.4300
O 0.0000 2.2305 1.9903
O 0.0000 5.3200 3.2199
O 1.8043 4.4580 0.4993
O 0.0000 0.8591 7.2005
O 1.8043 1.7210 9.9210
Sr 1.8043 2.6972 7.0641
Sr 1.8043 5.7867 8.5664
Sr 1.8043 0.3924 1.8539
Sr 1.8043 3.4819 3.3562
U 0.0000 0.0000 5.2102
U 0.0000 3.0895 0.0000
```

Values from the calculation:
For the energy relative to the elements, uncorrected, the calculation gives -3013 meV per atom. For the density, the calculation gives 6.822 g/cm3. The calculation puts the calculated volume at 232.4 Å³ per cell. The energy relative to the lowest polymorph listed for this composition is 0.0000 eV/atom.

=====

Entry 8:
InSbPb | PBE-GGA | optimized geometry

The structure in extended XYZ format:
```
6
Lattice="6.1062 0.0000 0.0000 0.0000 3.3247 0.0000 -3.0531 -1.6623 8.8586" Properties=species:S:1:pos:R:3 pbc="T T T"
Pb 0.0000 1.6623 5.9780
Pb 3.0531 0.0000 2.8806
In 4.5544 1.6623 0.0000
In 1.5518 1.6623 0.0000
Sb 0.0000 1.6623 2.8326
Sb 3.0531 0.0000 6.0259
```

Values from the calculation:
For the energy relative to the elements, uncorrected, the calculation gives 69 meV per atom. For the density, the calculation gives 8.195 g/cm3. The calculation puts the calculated volume at 179.8 Å³ per cell. The energy relative to the lowest polymorph listed for this composition is 0.0550 eV/atom.